1.
The following is a PBE-GGA calculation of a relaxed structure of PmHg2Pd, from the Alexandria database.

Cell: 5.0218 5.0218 5.0218 Å, 60.00 60.00 60.00°
Positions (direct):
Hg 0.2500 0.2500 0.2500
Hg 0.7500 0.7500 0.7500
Pd 0.0000 0.0000 0.0000
Pm 0.5000 0.5000 0.5000

Properties
Fermi-level density of states   3.72 states/eV per cell
Total magnetic moment   0.000 μB/cell
Total energy   -12.4 eV for the cell shown
V   22.39 Å³ per atom
Space-group type   Fm-3m

2.
The following is a PBE-GGA calculation of a relaxed structure of PmHgPd6, from the Alexandria database.

Cell: 4.1174 4.1174 8.2808 Å, 90.00 90.00 90.00°
Positions (direct):
Pm 0.0000 0.0000 0.0000
Hg 0.0000 0.0000 0.5000
Pd 0.5000 0.5000 0.0000
Pd 0.5000 0.5000 0.5000
Pd 0.5000 0.0000 0.2565
Pd 0.5000 0.0000 0.7435
Pd 0.0000 0.5000 0.2565
Pd 0.0000 0.5000 0.7435

Properties
Fermi-level density of states   10.12 states/eV per cell
Total magnetic moment   0.000 μB/cell
Total energy   -39.7 eV for the cell shown
V   17.55 Å³ per atom
Space-group type   P4/mmm

3.
The following is a PBE-GGA calculation of a relaxed structure of Pm2HgPd2, from the Alexandria database.

Cell: 3.8835 7.7788 7.7788 Å, 90.00 90.00 90.00°
Positions (direct):
Pm 0.5000 0.1759 0.6759
Pm 0.5000 0.6759 0.8241
Pm 0.5000 0.8241 0.3241
Pm 0.5000 0.3241 0.1759
Hg 0.0000 0.0000 0.0000
Hg 0.0000 0.5000 0.5000
Pd 0.0000 0.3742 0.8742
Pd 0.0000 0.8742 0.6258
Pd 0.0000 0.6258 0.1258
Pd 0.0000 0.1258 0.3742

Properties
Fermi-level density of states   7.73 states/eV per cell
Total magnetic moment   0.000 μB/cell
Total energy   -48.1 eV for the cell shown
V   23.50 Å³ per atom
Space-group type   P4/mbm

4.
The following is a PBE-GGA calculation of a relaxed structure of PmHgPd2, from the Alexandria database.

Cell: 6.1759 7.3413 7.6058 Å, 90.00 90.00 90.00°
Positions (direct):
Pm 0.3367 0.2500 0.0337
Pm 0.8367 0.7500 0.4663
Pm 0.6633 0.7500 0.9663
Pm 0.1633 0.2500 0.5337
Hg 0.6666 0.2500 0.4053
Hg 0.1666 0.7500 0.0947
Hg 0.3334 0.7500 0.5947
Hg 0.8334 0.2500 0.9053
Pd 0.9513 0.0509 0.2083
Pd 0.4513 0.9491 0.2917
Pd 0.0487 0.5509 0.7917
Pd 0.5487 0.4491 0.7083
Pd 0.0487 0.9491 0.7917
Pd 0.5487 0.0509 0.7083
Pd 0.9513 0.4491 0.2083
Pd 0.4513 0.5509 0.2917

Properties
Fermi-level density of states   12.09 states/eV per cell
Total magnetic moment   0.000 μB/cell
Total energy   -70.5 eV for the cell shown
V   21.55 Å³ per atom
Space-group type   Pnma

5.
The following is a PBE-GGA calculation of a relaxed structure of Pm8Hg2Pd, from the Alexandria database.

Cell: 5.1085 8.8105 8.8621 Å, 119.81 106.75 90.00°
Positions (direct):
Pm 0.6575 0.8768 0.3150
Pm 0.3425 0.5618 0.6850
Pm 0.1229 0.1229 0.2457
Pm 0.0000 0.3304 0.0000
Pm 0.8771 0.8771 0.7543
Pm 0.6575 0.4382 0.3150
Pm 0.3425 0.1232 0.6850
Pm 0.0000 0.6696 0.0000
Hg 0.2039 0.7039 0.4078
Hg 0.7961 0.2961 0.5922
Pd 0.5000 0.0000 0.0000

Properties
Fermi-level density of states   13.52 states/eV per cell
Total magnetic moment   0.001 μB/cell
Total energy   -45.9 eV for the cell shown
V   29.68 Å³ per atom
Space-group type   Immm

6.
The following is a PBE-GGA calculation of a relaxed structure of Pm2Hg3Pd, from the Alexandria database.

Cell: 3.5368 4.8538 8.5717 Å, 90.00 90.00 90.00°
Positions (direct):
Pm 0.0000 0.5000 0.0300
Pm 0.0000 0.0000 0.4801
Hg 0.5000 0.0000 0.8328
Hg 0.5000 0.0000 0.1697
Hg 0.5000 0.5000 0.6563
Pd 0.5000 0.5000 0.3312

Properties
Fermi-level density of states   3.22 states/eV per cell
Total magnetic moment   0.000 μB/cell
Total energy   -18.8 eV for the cell shown
V   24.52 Å³ per atom
Space-group type   Pmm2

7.
The following is a PBE-GGA calculation of a relaxed structure of Pm4HgPd7, from the Alexandria database.

Cell: 5.3569 9.6800 6.0226 Å, 81.78 63.59 73.94°
Positions (direct):
Pm 0.5995 0.2073 0.5938
Pm 0.4005 0.7927 0.4062
Pm 0.7946 0.6277 0.7831
Pm 0.2054 0.3723 0.2169
Hg 0.0000 0.0000 0.0000
Pd 0.7910 0.9017 0.5163
Pd 0.2090 0.0983 0.4837
Pd 0.0773 0.6912 0.1542
Pd 0.9227 0.3088 0.8458
Pd 0.3684 0.5212 0.7420
Pd 0.5000 0.0000 0.0000
Pd 0.6316 0.4788 0.2580

Properties
Fermi-level density of states   6.19 states/eV per cell
Total magnetic moment   0.000 μB/cell
Total energy   -62.6 eV for the cell shown
V   22.39 Å³ per atom
Space-group type   C2/m

8.
The following is a PBE-GGA calculation of a relaxed structure of Pm3Hg4Pd2, from the Alexandria database.

Cell: 5.1983 5.3567 8.9719 Å, 96.66 90.00 119.03°
Positions (direct):
Pm 0.6198 0.2397 0.7027
Pm 0.0000 0.0000 0.0000
Pm 0.3802 0.7603 0.2973
Hg 0.6798 0.3596 0.0765
Hg 0.3202 0.6404 0.9235
Hg 0.9375 0.8749 0.6444
Hg 0.0625 0.1251 0.3556
Pd 0.7182 0.4364 0.3948
Pd 0.2818 0.5636 0.6052

Properties
Fermi-level density of states   5.82 states/eV per cell
Total magnetic moment   0.000 μB/cell
Total energy   -30.6 eV for the cell shown
V   24.06 Å³ per atom
Space-group type   C2/m

Repeat the sixth record exactly.
The following is a PBE-GGA calculation of a relaxed structure of Pm2Hg3Pd, from the Alexandria database.

Cell: 3.5368 4.8538 8.5717 Å, 90.00 90.00 90.00°
Positions (direct):
Pm 0.0000 0.5000 0.0300
Pm 0.0000 0.0000 0.4801
Hg 0.5000 0.0000 0.8328
Hg 0.5000 0.0000 0.1697
Hg 0.5000 0.5000 0.6563
Pd 0.5000 0.5000 0.3312

Properties
Fermi-level density of states   3.22 states/eV per cell
Total magnetic moment   0.000 μB/cell
Total energy   -18.8 eV for the cell shown
V   24.52 Å³ per atom
Space-group type   Pmm2

What is the formula in the second record?
PmHgPd6

Which formula does entry 5 have?
Pm8Hg2Pd